Compound: NdCr3B4O12
Source: Alexandria
Functional: PBE with a Hubbard U
Structure: relaxed

Output
M_tot: 9.00 μB per cell
SG: No. 155
Uncorrected energy: -8.097 eV/atom

Unit cell a=6.125 b=6.125 c=6.125 alpha=103.75 beta=103.75 gamma=103.75
Sites, in units of the cell vectors:
Nd1 0.000 0.000 0.000
Cr1 0.555 0.445 0.000
Cr2 0.445 0.000 0.555
Cr3 0.000 0.555 0.445
B1 0.943 0.057 0.500
B2 0.057 0.500 0.943
B3 0.500 0.943 0.057
B4 0.500 0.500 0.500
O1 0.500 0.356 0.644
O2 0.912 0.500 0.088
O3 0.088 0.912 0.500
O4 0.500 0.088 0.912
O5 0.373 0.970 0.213
O6 0.213 0.373 0.970
O7 0.970 0.213 0.373
O8 0.627 0.787 0.030
O9 0.030 0.627 0.787
O10 0.787 0.030 0.627
O11 0.644 0.500 0.356
O12 0.356 0.644 0.500